Compound: ScHgCl2
Source: Alexandria via LeMat-Bulk
Functional: PBE-GGA
Structure: relaxed

a b c (Å): 3.8101 3.8101 10.9942
angles (deg): 90.00 90.00 124.99
Last column: nearest neighbours and their distance in Å.
Atoms (fractional coordinates):
Sc1 0.0000 0.0000 0.0000  4 Cl 2.50
Hg1 0.0000 0.0000 0.5000  6 Hg 3.52-3.81
Cl1 0.5000 0.5000 0.1613  2 Sc 2.50
Cl2 0.5000 0.5000 0.8387  2 Sc 2.50

## Properties
excess energy over the best structure of this formula in the dataset	171.1	meV per atom
E_form (uncorrected)	-1.218	eV/atom

---

Compound: BaBPt3
Source: Alexandria via LeMat-Bulk
Functional: PBE-GGA
Structure: relaxed

a b c (Å): 4.5018 4.5018 4.5018
angles (deg): 90.00 90.00 90.00
Last column: nearest neighbours and their distance in Å.
Atoms (fractional coordinates):
Ba1 0.0000 0.0000 0.0000  12 Pt 3.18
B1 0.5000 0.5000 0.5000  6 Pt 2.25
Pt1 0.0000 0.5000 0.5000  2 B 2.25
Pt2 0.5000 0.0000 0.5000  2 B 2.25
Pt3 0.5000 0.5000 0.0000  2 B 2.25

## Properties
excess energy over the best structure of this formula in the dataset	63.8	meV per atom
ΔE_f	-0.30	eV/atom

---

Compound: LiTb2AgHg4
Source: Alexandria via LeMat-Bulk
Functional: PBE-GGA
Structure: relaxed

a b c (Å): 8.7041 8.7041 8.7041
angles (deg): 33.58 33.58 33.58
Last column: nearest neighbours and their distance in Å.
Atoms (fractional coordinates):
Li1 0.0000 0.0000 0.0000  8 Hg 2.99-3.05
Tb1 0.2473 0.2473 0.2473  8 Hg 3.03-3.13
Tb2 0.7527 0.7527 0.7527  8 Hg 3.03-3.13
Ag1 0.5000 0.5000 0.5000  8 Hg 3.11-3.16
Hg1 0.1216 0.1216 0.1216  1 Li 2.99, 4 Tb 3.03-3.09, 3 Ag 3.11
Hg2 0.3716 0.3716 0.3716  3 Li 3.05, 4 Tb 3.06-3.13, 1 Ag 3.16
Hg3 0.6284 0.6284 0.6284  3 Li 3.05, 4 Tb 3.06-3.13, 1 Ag 3.16
Hg4 0.8784 0.8784 0.8784  1 Li 2.99, 4 Tb 3.03-3.09, 3 Ag 3.11

## Properties
ΔE_f	-0.40	eV/atom

---

Compound: Co2HOsPt
Source: Alexandria via LeMat-Bulk
Functional: PBE-GGA
Structure: relaxed

a b c (Å): 3.8032 3.8032 3.7224
angles (deg): 90.00 90.00 90.00
Last column: nearest neighbours and their distance in Å.
Atoms (fractional coordinates):
Co1 0.0000 0.5000 0.0000  2 H 1.90
Co2 0.5000 0.0000 0.0000  2 H 1.90
H1 0.0000 0.0000 0.0000  2 Os 1.86, 4 Co 1.90
Os1 0.0000 0.0000 0.5000  2 H 1.86
Pt1 0.5000 0.5000 0.5000  8 Co 2.66, 4 Os 2.69

## Properties
raw total energy	-6.80	eV per atom

---

Compound: CsCu2SeS
Source: Alexandria via LeMat-Bulk
Functional: PBE-GGA
Structure: relaxed

a b c (Å): 7.8346 7.8346 5.6383
angles (deg): 90.00 90.00 137.35
Last column: nearest neighbours and their distance in Å.
Atoms (fractional coordinates):
Cs1 0.2502 0.7498 0.7500  4 Se 3.61-3.63, 4 S 3.66-3.68, 4 Cs 4.01
Cs2 0.7498 0.2502 0.2500  4 Se 3.61-3.63, 4 S 3.66-3.68, 4 Cs 4.01
Cu1 0.2347 0.2347 0.0000  2 S 2.35, 2 Se 2.49
Cu2 0.2347 0.2347 0.5000  2 S 2.35, 2 Se 2.49
Cu3 0.7653 0.7653 0.0000  2 S 2.35, 2 Se 2.49
Cu4 0.7653 0.7653 0.5000  2 S 2.35, 2 Se 2.49
Se1 0.4043 0.5957 0.2500  4 Cu 2.49
Se2 0.5957 0.4043 0.7500  4 Cu 2.49
S1 0.0907 0.9093 0.2500  4 Cu 2.35
S2 0.9093 0.0907 0.7500  4 Cu 2.35

## Properties
E_form (uncorrected)	-0.548	eV/atom

---

Compound: NbPdAu2
Source: Alexandria via LeMat-Bulk
Functional: PBE-GGA
Structure: relaxed

a b c (Å): 5.9357 5.9357 5.9357
angles (deg): 102.14 102.14 125.40
Last column: nearest neighbours and their distance in Å.
Atoms (fractional coordinates):
Nb1 0.0000 0.0000 0.0000  4 Au 2.71, 2 Pd 2.72
Nb2 0.7500 0.2500 0.5000  4 Au 2.71, 2 Pd 2.72
Pd1 0.2500 0.7500 0.5000  2 Nb 2.72, 4 Au 2.74
Pd2 0.5000 0.5000 0.0000  2 Nb 2.72, 4 Au 2.74
Au1 0.1227 0.6250 0.9977  2 Nb 2.71, 2 Au 2.72, 2 Pd 2.74
Au2 0.3750 0.3727 0.4977  2 Nb 2.71, 2 Au 2.72, 2 Pd 2.74
Au3 0.6273 0.1250 0.0023  2 Nb 2.71, 2 Au 2.72, 2 Pd 2.74
Au4 0.8750 0.8773 0.5023  2 Nb 2.71, 2 Au 2.72, 2 Pd 2.74

## Properties
excess energy over the best structure of this formula in the dataset	463.7	meV per atom
ΔE_f	0.32	eV/atom

---

Compound: SrAlRe3
Source: Alexandria via LeMat-Bulk
Functional: PBE-GGA
Structure: relaxed

a b c (Å): 4.7873 4.7873 4.7873
angles (deg): 90.00 90.00 90.00
Last column: nearest neighbours and their distance in Å.
Atoms (fractional coordinates):
Sr1 0.0000 0.0000 0.0000  6 Re 2.39
Al1 0.5000 0.5000 0.5000  12 Re 3.39
Re1 0.0000 0.0000 0.5000  2 Sr 2.39
Re2 0.0000 0.5000 0.0000  2 Sr 2.39
Re3 0.5000 0.0000 0.0000  2 Sr 2.39

## Properties
excess energy over the best structure of this formula in the dataset	2001.6	meV per atom
ΔE_f	3.63	eV/atom

---

Compound: Ga2Sn2Te5
Source: Alexandria via LeMat-Bulk
Functional: PBE-GGA
Structure: relaxed

a b c (Å): 8.2035 8.2035 10.9521
angles (deg): 119.10 119.10 31.03
Last column: nearest neighbours and their distance in Å.
Atoms (fractional coordinates):
Ga1 0.2090 0.2090 0.0870  4 Te 2.60-2.75
Ga2 0.7910 0.7910 0.9130  4 Te 2.60-2.75
Sn1 0.4040 0.4040 0.5848  5 Te 3.04-3.24
Sn2 0.5960 0.5960 0.4152  5 Te 3.04-3.24
Te1 0.0000 0.0000 0.5000  4 Sn 3.07
Te2 0.2025 0.2025 0.3197  1 Ga 2.60
Te3 0.3795 0.3795 0.0807  3 Ga 2.73-2.75
Te4 0.6205 0.6205 0.9193  3 Ga 2.73-2.75
Te5 0.7975 0.7975 0.6803  1 Ga 2.60

## Properties
E_form (uncorrected)	-0.217	eV/atom

---

no.,magnetization (μB/atom)
1,0.123
2,0.000
3,0.000
4,0.517
5,0.000
6,0.000
7,0.447
8,0.000